{
  "formula": "TbHgPb",
  "functional": "PBE",
  "state": "relaxed",
  "spacegroup": "I4mm (107)",
  "formation_enthalpy_0k_ev_per_atom": -0.293,
  "total_energy_ev_per_atom": -3.17,
  "lattice_angstrom": [[3.735, 0.000, 0.000], [0.000, 3.735, 0.000], [-1.868, -1.868, 5.906]],
  "species": ["Hg", "Pb", "Tb"],
  "frac_coords": [[0.611, 0.611, 0.223], [0.276, 0.276, 0.552], [0.963, 0.963, 0.925]]
}

{
  "formula": "RbMgCd2Pd",
  "functional": "PBE",
  "state": "relaxed",
  "spacegroup": "P4/mmm (123)",
  "formation_enthalpy_0k_ev_per_atom": -0.194,
  "total_energy_ev_per_atom": -2.11,
  "lattice_angstrom": [[-3.327, 0.677, 4.177], [-2.584, -4.532, -1.324], [3.198, -2.695, 2.985]],
  "species": ["Rb", "Cd", "Mg", "Cd", "Pd"],
  "frac_coords": [[0.500, 0.500, 0.500], [0.500, 0.000, 0.000], [0.000, 0.000, 0.500], [0.000, 0.500, 0.000], [0.000, 0.000, 0.000]]
}

{
  "formula": "BaNa2H8Os",
  "functional": "PBE",
  "state": "relaxed",
  "spacegroup": "P-3m1 (164)",
  "total_energy_ev_per_atom": -3.60,
  "lattice_angstrom": [[-3.993, 1.836, -2.476], [3.835, -2.044, -2.562], [-3.145, -6.354, 0.360]],
  "species": ["H", "H", "H", "H", "Ba", "H", "Na", "H", "H", "Na", "H", "Os"],
  "frac_coords": [[0.842, 0.158, 0.854], [0.685, 0.842, 0.146], [0.333, 0.667, 0.542], [0.158, 0.842, 0.146], [0.000, 0.000, 0.500], [0.842, 0.685, 0.854], [0.333, 0.667, 0.865], [0.667, 0.333, 0.458], [0.315, 0.158, 0.854], [0.667, 0.333, 0.135], [0.158, 0.315, 0.146], [0.000, 0.000, 0.000]]
}

{
  "formula": "BaFeBr",
  "functional": "PBE",
  "state": "relaxed",
  "spacegroup": "P3m1 (156)",
  "e_above_lowest_polymorph_ev_per_fu": 0.214,
  "total_energy_ev_per_atom": -3.95,
  "lattice_angstrom": [[4.330, 0.000, 0.000], [-2.165, 3.750, 0.000], [0.000, 0.000, 6.488]],
  "species": ["Ba", "Fe", "Br"],
  "frac_coords": [[0.000, 0.000, 0.007], [0.333, 0.667, 0.650], [0.667, 0.333, 0.343]]
}

{
  "formula": "SrPb2W",
  "functional": "PBE",
  "state": "relaxed",
  "spacegroup": "C2/m (12)",
  "e_above_lowest_polymorph_ev_per_fu": 1.393,
  "formation_enthalpy_0k_ev_per_atom": 0.799,
  "total_energy_ev_per_atom": -4.71,
  "lattice_angstrom": [[6.725, 0.013, 0.039], [-3.004, 5.046, -0.021], [0.717, 1.002, 3.019]],
  "species": ["Pb", "W", "Pb", "Sr"],
  "frac_coords": [[0.500, 0.000, 0.500], [0.500, 0.500, 0.000], [0.000, 0.000, 0.000], [0.000, 0.500, 0.500]]
}

{
  "formula": "NpPtS4",
  "functional": "PBE",
  "state": "relaxed",
  "spacegroup": "P2/m (10)",
  "e_above_lowest_polymorph_ev_per_fu": 0.000,
  "total_energy_ev_per_atom": -6.65,
  "lattice_angstrom": [[3.798, 0.000, 0.000], [0.000, 5.839, -0.216], [0.000, 0.041, 6.414]],
  "species": ["S", "Pt", "S", "S", "S", "Np"],
  "frac_coords": [[0.000, 0.366, 0.780], [0.500, 0.500, 0.000], [0.500, 0.823, 0.760], [0.500, 0.177, 0.240], [0.000, 0.634, 0.220], [0.000, 0.000, 0.000]]
}

{
  "formula": "Ga2AuSe2",
  "functional": "PBE",
  "state": "relaxed",
  "spacegroup": "P4/mbm (127)",
  "e_above_lowest_polymorph_ev_per_fu": 0.415,
  "total_energy_ev_per_atom": -3.23,
  "lattice_angstrom": [[-7.100, -2.053, 0.685], [1.471, -2.856, 6.692], [-0.788, 3.246, 1.558]],
  "species": ["Ga", "Au", "Se", "Au", "Se", "Ga", "Se", "Ga", "Se", "Ga"],
  "frac_coords": [[0.164, 0.336, 0.000], [0.500, 0.500, 0.000], [0.653, 0.847, 0.500], [0.000, 0.000, 0.000], [0.847, 0.347, 0.500], [0.664, 0.164, 0.000], [0.153, 0.653, 0.500], [0.336, 0.836, 0.000], [0.347, 0.153, 0.500], [0.836, 0.664, 0.000]]
}

{
  "formula": "PmFeCo",
  "functional": "PBE",
  "state": "relaxed",
  "spacegroup": "Imma (74)",
  "formation_enthalpy_0k_ev_per_atom": -0.029,
  "total_energy_ev_per_atom": -6.80,
  "lattice_angstrom": [[-1.286, 2.779, -4.167], [3.294, -3.965, -0.418], [-2.936, -2.316, -3.572]],
  "species": ["Pm", "Fe", "Fe", "Co", "Pm", "Co"],
  "frac_coords": [[0.250, 0.126, 0.624], [0.000, 0.500, 0.000], [0.500, 0.000, 0.000], [0.000, 0.500, 0.500], [0.750, 0.874, 0.376], [0.500, 0.500, 0.000]]
}

Repeat the seventh record exactly.
{
  "formula": "Ga2AuSe2",
  "functional": "PBE",
  "state": "relaxed",
  "spacegroup": "P4/mbm (127)",
  "e_above_lowest_polymorph_ev_per_fu": 0.415,
  "total_energy_ev_per_atom": -3.23,
  "lattice_angstrom": [[-7.100, -2.053, 0.685], [1.471, -2.856, 6.692], [-0.788, 3.246, 1.558]],
  "species": ["Ga", "Au", "Se", "Au", "Se", "Ga", "Se", "Ga", "Se", "Ga"],
  "frac_coords": [[0.164, 0.336, 0.000], [0.500, 0.500, 0.000], [0.653, 0.847, 0.500], [0.000, 0.000, 0.000], [0.847, 0.347, 0.500], [0.664, 0.164, 0.000], [0.153, 0.653, 0.500], [0.336, 0.836, 0.000], [0.347, 0.153, 0.500], [0.836, 0.664, 0.000]]
}

What is the formula in the third record?
BaNa2H8Os